Record 1
First-principles (PBE) data for NaCdSeI after structural relaxation, as listed in Alexandria via LeMat-Bulk.

Geometry as extended XYZ:
```
4
Lattice="4.331 0.001 0.001 2.164 3.751 0.002 2.163 1.247 7.882" Properties=species:S:1:pos:R:3 pbc="T T T"
Cd 6.387 4.343 7.659
Se 6.388 1.843 6.586
I 4.225 3.098 2.626
Na 6.389 4.347 4.442
```

final energy = -2.65 eV/atom
space group = R3m
total magnetization = 0.00 μB per cell

---

Record 2
First-principles (PBE) data for Na2CdSnI6 after structural relaxation, as listed in Alexandria via LeMat-Bulk.

Geometry as extended XYZ:
```
10
Lattice="6.991 0.000 0.000 0.000 8.471 0.000 0.000 0.000 8.471" Properties=species:S:1:pos:R:3 pbc="T T T"
I 5.198 2.037 2.037
I 5.198 6.434 2.037
I 5.198 2.037 6.434
I 5.198 6.434 6.434
I 1.464 0.000 0.000
I 1.548 4.236 4.236
Cd 4.193 0.000 0.000
Na 6.331 4.236 0.000
Na 6.331 0.000 4.236
Sn 4.410 4.236 4.236
```

final energy = -2.41 eV/atom
space group = P4mm
total magnetization = 0.00 μB per cell

---

Record 3
First-principles (PBE) data for NaCdTe2I after structural relaxation, as listed in Alexandria via LeMat-Bulk.

Geometry as extended XYZ:
```
5
Lattice="-3.350 1.521 -4.227 -4.461 -0.499 3.356 0.605 6.081 1.709" Properties=species:S:1:pos:R:3 pbc="T T T"
Te -1.675 0.761 -2.114
Te -2.230 -0.250 1.678
Na -3.603 3.551 0.419
Cd 0.000 0.000 0.000
I 0.302 3.041 0.854
```

final energy = -2.14 eV/atom
space group = P4/mmm
relative energy among the computed polymorphs = 0 meV per atom
total magnetization = 0.00 μB per cell